(1)
{"formula": "AcGeAu", "functional": "PBE", "state": "optimized geometry", "n_ef_per_ev_cell": 5.83, "delta_e_f_kj_per_mol_atoms": -61, "final_energy_ev_per_cell": -55.66, "polymorph_energy_mev_per_atom": 202, "magnetic_moment_mub_per_atom": 0.00, "lattice_angstrom": [[6.174, 0.000, 0.000], [0.000, 8.056, 0.000], [-2.204, 0.000, 6.471]], "species": ["Ac", "Ac", "Ac", "Ac", "Ge", "Ge", "Ge", "Ge", "Au", "Au", "Au", "Au"], "fractional_positions": [[0.178, 0.101, 0.305], [0.178, 0.399, 0.805], [0.822, 0.601, 0.195], [0.822, 0.899, 0.695], [0.274, 0.736, 0.579], [0.274, 0.764, 0.079], [0.726, 0.236, 0.921], [0.726, 0.264, 0.421], [0.358, 0.026, 0.793], [0.358, 0.474, 0.293], [0.642, 0.526, 0.707], [0.642, 0.974, 0.207]]}



(2)
{"formula": "Ac3GeAu3", "functional": "PBE", "state": "optimized geometry", "n_ef_per_ev_cell": 3.90, "delta_e_f_kj_per_mol_atoms": -76, "final_energy_ev_per_cell": -32.27, "magnetic_moment_mub_per_atom": 0.00, "lattice_angstrom": [[-2.172, 2.280, 10.400], [2.172, -2.280, 10.400], [2.172, 2.280, -10.400]], "species": ["Ac", "Ac", "Ac", "Ge", "Au", "Au", "Au"], "fractional_positions": [[0.000, 0.000, 0.000], [0.361, 0.361, 0.000], [0.686, 0.186, 0.500], [0.245, 0.745, 0.500], [0.119, 0.619, 0.500], [0.527, 0.527, 0.000], [0.826, 0.826, 0.000]]}